--- 1 ---
Material: Cd2NiPb
Method: DFT, PBE
State: relaxed

Unit cell a=5.041 b=5.041 c=6.764 alpha=113.12 beta=113.12 gamma=36.24
Positions (direct):
Cd 0.000 0.000 0.000
Cd 0.190 0.190 0.686
Ni 0.735 0.735 0.027
Pb 0.363 0.363 0.382

The value obtained for the size of the total moment is 0.00 μB per cell.

---

--- 2 ---
Material: Cd2NiPb
Method: DFT, PBE
State: relaxed

Unit cell a=9.880 b=9.880 c=9.880 alpha=18.86 beta=18.86 gamma=18.86
Positions (direct):
Cd 0.232 0.232 0.232
Cd 0.768 0.768 0.768
Ni 0.500 0.500 0.500
Pb 0.000 0.000 0.000

The value obtained for the size of the total moment is 0.00 μB per cell.

---

--- 3 ---
Material: Cd2NiPb
Method: DFT, PBE
State: relaxed

Unit cell a=3.220 b=3.220 c=8.323 alpha=90.00 beta=90.00 gamma=90.00
Positions (direct):
Cd 0.000 0.000 0.000
Cd 0.500 0.500 0.266
Ni 0.000 0.000 0.452
Pb 0.500 0.500 0.661

The value obtained for the size of the total moment is 0.00 μB per cell.

---

Which one is most stable, and which one is least stable? 3 is the most stable of them, while 2 is the least stable.

---

--- 1 ---
Material: CdNi2Pb
Method: DFT, PBE
State: relaxed

Unit cell a=5.511 b=5.511 c=5.511 alpha=144.93 beta=134.07 gamma=59.07
Positions (direct):
Cd 0.000 0.000 0.000
Ni 0.275 0.775 0.500
Ni 0.474 0.474 0.000
Pb 0.722 0.222 0.500

The value obtained for the size of the total moment is 0.00 μB per cell.

---

--- 2 ---
Material: CdNi2Pb
Method: DFT, PBE
State: relaxed

Unit cell a=4.006 b=5.239 c=5.239 alpha=39.71 beta=90.00 gamma=90.00
Positions (direct):
Cd 0.000 0.000 0.000
Ni 0.000 0.712 0.712
Ni 0.500 0.571 0.571
Pb 0.500 0.295 0.295

The value obtained for the size of the total moment is 0.00 μB per cell.

---

Which one is most stable, and which one is least stable? 2 is the most stable of them, while 1 is the least stable.

---

--- 1 ---
Material: CdNi2Pb
Method: DFT, PBE
State: relaxed

Unit cell a=8.100 b=8.100 c=8.100 alpha=22.98 beta=22.98 gamma=22.98
Positions (direct):
Cd 0.000 0.000 0.000
Ni 0.250 0.250 0.250
Ni 0.750 0.750 0.750
Pb 0.500 0.500 0.500

The value obtained for the size of the total moment is 0.00 μB per cell.

---

--- 2 ---
Material: CdNi2Pb
Method: DFT, PBE
State: relaxed

Unit cell a=3.244 b=3.313 c=6.239 alpha=90.00 beta=90.00 gamma=90.00
Positions (direct):
Cd 0.000 0.000 0.000
Ni 0.500 0.500 0.242
Ni 0.500 0.500 0.758
Pb 0.000 0.000 0.500

The value obtained for the size of the total moment is 0.00 μB per cell.

---

--- 3 ---
Material: CdNi2Pb
Method: DFT, PBE
State: relaxed

Unit cell a=5.816 b=5.816 c=5.816 alpha=104.43 beta=104.43 gamma=120.11
Positions (direct):
Cd 0.000 0.000 0.000
Cd 0.750 0.250 0.500
Ni 0.126 0.625 0.001
Ni 0.375 0.376 0.501
Ni 0.624 0.125 0.999
Ni 0.875 0.874 0.499
Pb 0.250 0.750 0.500
Pb 0.500 0.500 0.000

The value obtained for the size of the total moment is 0.00 μB per cell.

---

--- 4 ---
Material: CdNi2Pb
Method: DFT, PBE
State: relaxed

Unit cell a=4.615 b=4.615 c=4.615 alpha=60.00 beta=60.00 gamma=60.00
Positions (direct):
Cd 0.000 0.000 0.000
Ni 0.500 0.500 0.500
Ni 0.750 0.750 0.750
Pb 0.250 0.250 0.250

The value obtained for the size of the total moment is 0.00 μB per cell.

---

Which one is most stable, and which one is least stable? 2 is the most stable of them, while 3 is the least stable.